Density functional theory data (PBE-GGA) for a geometry-optimized Zr2FeCuH structure.

Lattice parameters (Å, degrees): 4.5437 4.5437 3.4079 90.00 90.00 90.00
With the nearest neighbours (Å) after each atom.
Atoms (fractional coordinates):
Zr 0.0000 0.5000 0.0000  2 H 2.27
Zr 0.5000 0.0000 0.0000  2 H 2.27
Fe 0.0000 0.0000 0.5000  2 H 1.70
Cu 0.5000 0.5000 0.5000  8 Zr 2.84
H 0.0000 0.0000 0.0000  2 Fe 1.70

- Total magnetic moment: 0.9 μB/cell
- E_tot: -33.9 eV for the cell shown
- Space-group type: P4/mmm
- Calculated volume: 14.1 A^3/atom

Density functional theory data (PBE-GGA) for a geometry-optimized HfFe3Cu structure.

Lattice parameters (Å, degrees): 4.3492 4.3492 4.3492 90.00 90.00 90.00
With the nearest neighbours (Å) after each atom.
Atoms (fractional coordinates):
Hf 0.0000 0.0000 0.0000  12 Fe 3.08
Fe 0.0000 0.5000 0.5000  2 Cu 2.17
Fe 0.5000 0.0000 0.5000  2 Cu 2.17
Fe 0.5000 0.5000 0.0000  2 Cu 2.17
Cu 0.5000 0.5000 0.5000  6 Fe 2.17

- Total magnetic moment: 7.3 μB/cell
- Offset from the most stable computed form: 0.00 eV per formula unit
- E_tot: -35.1 eV for the cell shown
- Energy of formation: 0.86 eV per atom
- Space-group type: Pm-3m
- Calculated volume: 16.5 A^3/atom

Density functional theory data (PBE-GGA) for a geometry-optimized HfFeCu4 structure.

Lattice parameters (Å, degrees): 4.8540 4.8540 4.8540 60.00 60.00 60.00
With the nearest neighbours (Å) after each atom.
Atoms (fractional coordinates):
Hf 0.0000 0.0000 0.0000  12 Cu 2.85, 4 Fe 2.97
Fe 0.7500 0.7500 0.7500  12 Cu 2.84, 4 Hf 2.97
Cu 0.3757 0.3757 0.3757  6 Cu 2.41-2.44
Cu 0.3757 0.3757 0.8730  6 Cu 2.41-2.44
Cu 0.3757 0.8730 0.3757  6 Cu 2.41-2.44
Cu 0.8730 0.3757 0.3757  6 Cu 2.41-2.44

- Total magnetic moment: 2.1 μB/cell
- E_tot: -34.7 eV for the cell shown
- Energy of formation: 0.02 eV per atom
- Space-group type: F-43m
- Calculated volume: 13.5 A^3/atom

Density functional theory data (PBE-GGA) for a geometry-optimized HfFe2Cu2 structure.

Lattice parameters (Å, degrees): 7.0549 7.0549 2.7467 90.00 90.00 90.00
With the nearest neighbours (Å) after each atom.
Atoms (fractional coordinates):
Hf 0.0000 0.0000 0.0000  2 Hf 2.75, 4 Fe 2.82, 8 Cu 2.94
Hf 0.5000 0.5000 0.0000  2 Hf 2.75, 4 Fe 2.82, 8 Cu 2.94
Fe 0.1190 0.3810 0.0000  1 Fe 2.38, 6 Cu 2.47-2.52
Fe 0.3810 0.8810 0.0000  1 Fe 2.38, 6 Cu 2.47-2.52
Fe 0.6190 0.1190 0.0000  1 Fe 2.38, 6 Cu 2.47-2.52
Fe 0.8810 0.6190 0.0000  1 Fe 2.38, 6 Cu 2.47-2.52
Cu 0.1755 0.6755 0.5000  6 Fe 2.47-2.52, 2 Cu 2.75
Cu 0.3245 0.1755 0.5000  6 Fe 2.47-2.52, 2 Cu 2.75
Cu 0.6755 0.8245 0.5000  6 Fe 2.47-2.52, 2 Cu 2.75
Cu 0.8245 0.3245 0.5000  6 Fe 2.47-2.52, 2 Cu 2.75

- Total magnetic moment: 7.5 μB/cell
- Offset from the most stable computed form: 0.26 eV per formula unit
- E_tot: -68.7 eV for the cell shown
- Energy of formation: 0.15 eV per atom
- Space-group type: P4/mbm
- Calculated volume: 13.7 A^3/atom